CaSi3Sn: relaxed, PBE.

a b c (Å): 5.250 5.250 5.250
angles (deg): 90.00 90.00 90.00
Each line ends with the local moment (μB).
Sites, in units of the cell vectors:
1 Sn 0.500 0.500 0.500  -0.01
2 Si 0.000 0.500 0.000  0.05
3 Si 0.000 0.000 0.500  0.05
4 Si 0.500 0.000 0.000  0.06
5 Ca 0.000 0.000 0.000  0.12

Properties
- excess energy over the best structure of this formula in the dataset (meV per atom) = 512



CaSiSn3: relaxed, PBE.

a b c (Å): 5.282 5.282 5.282
angles (deg): 90.00 90.00 90.00
Sites, in units of the cell vectors:
1 Si 0.000 0.000 0.000
2 Sn 0.000 0.000 0.500
3 Sn 0.000 0.500 0.000
4 Sn 0.500 0.000 0.000
5 Ca 0.500 0.500 0.500

Properties
- total energy (eV/atom) = -3.73



CaSi2Sn: relaxed, PBE.

a b c (Å): 7.723 7.723 6.325
angles (deg): 52.38 52.38 90.00
Sites, in units of the cell vectors:
1 Si 0.661 0.125 0.250
2 Si 0.875 0.911 0.750
3 Si 0.089 0.625 0.250
4 Si 0.375 0.339 0.750
5 Ca 0.500 0.500 0.000
6 Ca 0.250 0.750 0.500
7 Sn 0.000 0.000 0.000
8 Sn 0.750 0.250 0.500

Properties
- total energy (eV/atom) = -4.16



Ca2SiSn: relaxed, PBE.

a b c (Å): 3.385 3.385 8.831
angles (deg): 90.00 90.00 90.00
Sites, in units of the cell vectors:
1 Ca 0.000 0.000 0.774
2 Ca 0.000 0.000 0.226
3 Sn 0.500 0.500 0.500
4 Si 0.500 0.500 0.000

Properties
- excess energy over the best structure of this formula in the dataset (meV per atom) = 0



Ca5Si2Sn2: relaxed, PBE.

a b c (Å): 7.644 7.617 9.428
angles (deg): 90.00 66.09 90.00
Sites, in units of the cell vectors:
1 Ca 0.694 0.318 0.247
2 Ca 0.560 0.818 0.247
3 Ca 0.000 0.000 0.000
4 Ca 0.306 0.682 0.753
5 Ca 0.440 0.182 0.753
6 Ca 0.500 0.500 0.000
7 Ca 0.940 0.318 0.753
8 Ca 0.194 0.182 0.247
9 Ca 0.806 0.818 0.753
10 Ca 0.060 0.682 0.247
11 Si 0.888 0.612 0.000
12 Si 0.388 0.888 0.000
13 Si 0.612 0.112 0.000
14 Si 0.112 0.388 0.000
15 Sn 0.770 0.000 0.460
16 Sn 0.230 0.000 0.540
17 Sn 0.730 0.500 0.540
18 Sn 0.270 0.500 0.460

Properties
- total energy (eV/atom) = -3.73



CaTl2SiSn: relaxed, PBE.

a b c (Å): 5.784 5.780 5.784
angles (deg): 90.00 90.00 90.00
Sites, in units of the cell vectors:
1 Tl 0.000 0.000 0.500
2 Tl 0.500 0.000 0.000
3 Ca 0.000 0.000 0.000
4 Si 0.500 0.500 0.500
5 Sn 0.000 0.500 0.000

Properties
- total energy (eV/atom) = -2.31



SrCa3Si: relaxed, PBE.

a b c (Å): 6.083 6.083 6.083
angles (deg): 90.00 90.00 90.00
Each line ends with the local moment (μB).
Sites, in units of the cell vectors:
1 Ca 0.500 0.000 0.000  0.11
2 Ca 0.000 0.000 0.500  0.25
3 Ca 0.000 0.500 0.000  0.17
4 Sr 0.000 0.000 0.000  0.40
5 Si 0.500 0.500 0.500  -0.20

Properties
- excess energy over the best structure of this formula in the dataset (meV per atom) = 1438



SrCa2Si: relaxed, PBE.

a b c (Å): 9.694 9.694 7.598
angles (deg): 50.36 50.36 90.00
Sites, in units of the cell vectors:
1 Ca 0.875 0.775 0.750
2 Ca 0.225 0.625 0.250
3 Ca 0.525 0.125 0.250
4 Ca 0.375 0.475 0.750
5 Sr 0.750 0.250 0.500
6 Sr 0.000 0.000 0.000
7 Si 0.500 0.500 0.000
8 Si 0.250 0.750 0.500

Properties
- total energy (eV/atom) = -2.81



SrCa2Si: relaxed, PBE.

a b c (Å): 5.589 5.589 5.589
angles (deg): 60.00 60.00 60.00
Sites, in units of the cell vectors:
1 Ca 0.250 0.250 0.250
2 Ca 0.000 0.000 0.000
3 Sr 0.750 0.750 0.750
4 Si 0.500 0.500 0.500

Properties
- total energy (eV/atom) = -2.75



SrCaSi: relaxed, PBE.

a b c (Å): 4.927 8.098 9.143
angles (deg): 90.00 90.00 90.00
Sites, in units of the cell vectors:
1 Ca 0.250 0.647 0.573
2 Ca 0.250 0.147 0.927
3 Ca 0.750 0.853 0.073
4 Ca 0.750 0.353 0.427
5 Si 0.250 0.267 0.607
6 Si 0.750 0.733 0.393
7 Si 0.250 0.767 0.893
8 Si 0.750 0.233 0.107
9 Sr 0.250 0.022 0.322
10 Sr 0.250 0.522 0.178
11 Sr 0.750 0.978 0.678
12 Sr 0.750 0.478 0.822

Properties
- total energy (eV/atom) = -3.49



Sr2Ca3Si4: relaxed, PBE.

a b c (Å): 7.766 8.178 8.047
angles (deg): 90.00 90.00 105.28
Sites, in units of the cell vectors:
1 Ca 0.000 0.500 0.500
2 Ca 0.750 0.755 0.317
3 Ca 0.250 0.245 0.683
4 Ca 0.500 0.500 0.000
5 Ca 0.250 0.755 0.183
6 Ca 0.750 0.245 0.817
7 Si 0.107 0.497 0.893
8 Si 0.393 0.503 0.393
9 Si 0.889 0.073 0.527
10 Si 0.611 0.927 0.027
11 Si 0.111 0.927 0.473
12 Si 0.893 0.503 0.107
13 Si 0.389 0.073 0.973
14 Si 0.607 0.497 0.607
15 Sr 0.587 0.199 0.325
16 Sr 0.413 0.801 0.675
17 Sr 0.913 0.801 0.825
18 Sr 0.087 0.199 0.175

Properties
- total energy (eV/atom) = -3.91



SrCa2Si: relaxed, PBE.

a b c (Å): 3.684 3.685 10.082
angles (deg): 90.00 90.00 90.00
Sites, in units of the cell vectors:
1 Ca 0.000 0.000 0.422
2 Ca 0.000 0.000 0.078
3 Sr 0.500 0.500 0.750
4 Si 0.500 0.500 0.250

Properties
- total energy (eV/atom) = -2.92



Sr2CaSi: relaxed, PBE.

a b c (Å): 11.221 11.221 8.455
angles (deg): 48.42 48.42 90.00
Sites, in units of the cell vectors:
1 Sr 0.267 0.625 0.250
2 Sr 0.875 0.733 0.750
3 Sr 0.375 0.517 0.750
4 Sr 0.483 0.125 0.250
5 Ca 0.000 0.000 0.000
6 Ca 0.750 0.250 0.500
7 Si 0.250 0.750 0.500
8 Si 0.500 0.500 0.000

Properties
- total energy (eV/atom) = -2.70



Sr2CaSi: relaxed, PBE.

a b c (Å): 11.474 11.474 11.474
angles (deg): 20.74 20.74 20.74
Sites, in units of the cell vectors:
1 Sr 0.024 0.024 0.024
2 Sr 0.476 0.476 0.476
3 Si 0.750 0.750 0.750
4 Ca 0.250 0.250 0.250

Properties
- total energy (eV/atom) = -2.69



Sr5Ca3Si4: relaxed, PBE.

a b c (Å): 4.977 8.111 9.264
angles (deg): 89.28 90.00 90.00
Sites, in units of the cell vectors:
1 Sr 0.000 0.526 0.822
2 Sr 0.500 0.985 0.323
3 Sr 0.000 0.020 0.684
4 Sr 0.000 0.652 0.422
5 Sr 0.500 0.474 0.172
6 Si 0.500 0.234 0.895
7 Si 0.500 0.735 0.615
8 Si 0.000 0.257 0.393
9 Si 0.000 0.768 0.097
10 Ca 0.000 0.145 0.072
11 Ca 0.500 0.350 0.576
12 Ca 0.500 0.854 0.928

Properties
- total energy (eV/atom) = -3.44



Sr2Ca2Si: relaxed, PBE.

a b c (Å): 7.988 7.988 6.227
angles (deg): 90.00 90.00 90.00
Sites, in units of the cell vectors:
1 Ca 0.661 0.161 0.000
2 Ca 0.161 0.339 0.000
3 Ca 0.839 0.661 0.000
4 Ca 0.339 0.839 0.000
5 Sr 0.172 0.672 0.500
6 Sr 0.672 0.828 0.500
7 Sr 0.828 0.328 0.500
8 Sr 0.328 0.172 0.500
9 Si 0.000 0.000 0.000
10 Si 0.500 0.500 0.000

Properties
- total energy (eV/atom) = -2.52



SrCaSi: relaxed, PBE.

a b c (Å): 5.328 5.328 7.065
angles (deg): 90.00 90.00 120.00
Sites, in units of the cell vectors:
1 Sr 0.333 0.667 0.250
2 Sr 0.667 0.333 0.750
3 Ca 0.000 0.000 0.000
4 Ca 0.000 0.000 0.500
5 Si 0.333 0.667 0.750
6 Si 0.667 0.333 0.250

Properties
- total energy (eV/atom) = -3.36



Sr2CaSi: relaxed, PBE.

a b c (Å): 5.704 5.704 5.704
angles (deg): 60.00 60.00 60.00
Sites, in units of the cell vectors:
1 Sr 0.000 0.000 0.000
2 Sr 0.750 0.750 0.750
3 Ca 0.500 0.500 0.500
4 Si 0.250 0.250 0.250

Properties
- total energy (eV/atom) = -2.58



SrCa2Si: relaxed, PBE.

a b c (Å): 5.938 6.873 3.758
angles (deg): 75.15 87.74 114.91
Sites, in units of the cell vectors:
1 Ca 0.500 0.000 0.500
2 Ca 0.000 0.000 0.000
3 Si 0.000 0.500 0.500
4 Sr 0.500 0.500 0.000

Properties
- total energy (eV/atom) = -2.60



Sr2CaSi: relaxed, PBE.

a b c (Å): 6.235 6.235 6.235
angles (deg): 131.95 131.95 70.31
Sites, in units of the cell vectors:
1 Si 0.750 0.250 0.500
2 Ca 0.500 0.500 0.000
3 Sr 0.250 0.750 0.500
4 Sr 0.000 0.000 0.000

Properties
- total energy (eV/atom) = -2.65



SrCa2Si: relaxed, PBE.

a b c (Å): 5.997 5.997 5.997
angles (deg): 130.41 130.41 72.75
Sites, in units of the cell vectors:
1 Ca 0.250 0.750 0.500
2 Ca 0.000 0.000 0.000
3 Sr 0.750 0.250 0.500
4 Si 0.500 0.500 0.000

Properties
- total energy (eV/atom) = -2.79



SrCa2Si2: relaxed, PBE.

a b c (Å): 8.801 8.801 3.350
angles (deg): 90.00 90.00 90.00
Sites, in units of the cell vectors:
1 Ca 0.876 0.624 0.000
2 Ca 0.624 0.124 0.000
3 Ca 0.124 0.376 0.000
4 Ca 0.376 0.876 0.000
5 Si 0.175 0.675 0.500
6 Si 0.325 0.175 0.500
7 Si 0.675 0.825 0.500
8 Si 0.825 0.325 0.500
9 Sr 0.000 0.000 0.000
10 Sr 0.500 0.500 0.000

Properties
- excess energy over the best structure of this formula in the dataset (meV per atom) = 90



Sr2CaSi: relaxed, PBE.

a b c (Å): 4.134 4.986 8.264
angles (deg): 72.47 90.00 90.00
Sites, in units of the cell vectors:
1 Si 0.500 0.524 0.827
2 Sr 0.000 0.988 0.899
3 Sr 0.500 0.326 0.224
4 Ca 0.000 0.663 0.550

Properties
- total energy (eV/atom) = -2.81



SrCa2Si: relaxed, PBE.

a b c (Å): 6.115 6.115 6.115
angles (deg): 132.17 132.17 69.96
Sites, in units of the cell vectors:
1 Si 0.250 0.750 0.500
2 Ca 0.500 0.500 0.000
3 Ca 0.000 0.000 0.000
4 Sr 0.750 0.250 0.500

Properties
- total energy (eV/atom) = -2.77



SrCaSi: relaxed, PBE.

a b c (Å): 4.922 4.922 4.879
angles (deg): 90.00 90.00 120.00
Sites, in units of the cell vectors:
1 Sr 0.333 0.667 0.602
2 Ca 0.000 0.000 0.117
3 Si 0.667 0.333 0.281

Properties
- total energy (eV/atom) = -3.21



SrCa2Si: relaxed, PBE.

a b c (Å): 3.735 3.734 9.902
angles (deg): 90.00 90.00 90.00
Sites, in units of the cell vectors:
1 Ca 0.500 0.500 0.320
2 Ca 0.000 0.000 0.014
3 Si 0.000 0.000 0.485
4 Sr 0.500 0.500 0.681

Properties
- total energy (eV/atom) = -2.91